## NaCd2Rh2 (PBE)

Data for NaCd2Rh2 after structural relaxation.

Geometry as CIF:
```
data_NaCd2Rh2
_cell_length_a 3.837
_cell_length_b 3.837
_cell_length_c 7.389
_cell_angle_alpha 74.95
_cell_angle_beta 74.95
_cell_angle_gamma 90.00
_space_group_name_H-M_alt 'P 1'
_space_group_IT_number 1
_space_group_name_Hall 'P 1'
loop_
_atom_site_label
_atom_site_type_symbol
_atom_site_fract_x
_atom_site_fract_y
_atom_site_fract_z
Na1 Na 0.000 0.000 0.000
Rh1 Rh 0.750 0.250 0.500
Rh2 Rh 0.250 0.750 0.500
Cd1 Cd 0.395 0.395 0.209
Cd2 Cd 0.605 0.605 0.791
```

Calculated values
ΔH_f (0 K) = 0.161 eV per atom
M_tot = 0.095 μB/atom
Relative energy among the computed polymorphs = 0.176 eV/atom
Raw total energy = -3.410 eV per atom
Symmetry = I4/mmm, No. 139